i) AgCIN2 after structural relaxation. Source: Alexandria via LeMat-Bulk, functional GGA-PBE.

```
data_AgCIN2
_chemical_formula_sum 'Ag1 C1 I1 N2'
_cell_length_a 3.943
_cell_length_b 3.943
_cell_length_c 8.325
_cell_angle_alpha 90.00
_cell_angle_beta 90.00
_cell_angle_gamma 90.00
_space_group_name_H-M_alt 'P 1'
_space_group_IT_number 1
loop_
_space_group_symop_operation_xyz
'x,y,z'
loop_
_atom_site_label
_atom_site_type_symbol
_atom_site_fract_x
_atom_site_fract_y
_atom_site_fract_z
_atom_site_occupancy
I1 I 0.000 0.000 0.500 1
C1 C 0.500 0.500 0.500 1
Ag1 Ag 0.000 0.000 0.000 1
N1 N 0.000 0.500 0.000 1
N2 N 0.500 0.000 0.000 1
```

ii) AgCIN2 after structural relaxation. Source: Alexandria via LeMat-Bulk, functional GGA-PBE.

```
data_AgCIN2
_chemical_formula_sum 'Ag1 C1 I1 N2'
_cell_length_a 3.671
_cell_length_b 3.671
_cell_length_c 7.685
_cell_angle_alpha 90.00
_cell_angle_beta 90.00
_cell_angle_gamma 90.00
_space_group_name_H-M_alt 'P 1'
_space_group_IT_number 1
loop_
_space_group_symop_operation_xyz
'x,y,z'
loop_
_atom_site_label
_atom_site_type_symbol
_atom_site_fract_x
_atom_site_fract_y
_atom_site_fract_z
_atom_site_occupancy
I1 I 0.000 0.000 0.500 1
C1 C 0.000 0.000 0.000 1
Ag1 Ag 0.500 0.500 0.500 1
N1 N 0.000 0.500 0.000 1
N2 N 0.500 0.000 0.000 1
```

ii) is favored, and the nearest alternative lies 33.6 kJ/mol of atoms above it.

i) AgTeCI2 after structural relaxation. Source: Alexandria via LeMat-Bulk, functional GGA-PBE.

```
data_AgTeCI2
_chemical_formula_sum 'Ag1 Te1 C1 I2'
_cell_length_a 5.238
_cell_length_b 5.238
_cell_length_c 4.691
_cell_angle_alpha 90.00
_cell_angle_beta 90.00
_cell_angle_gamma 90.00
_space_group_name_H-M_alt 'P 1'
_space_group_IT_number 1
loop_
_space_group_symop_operation_xyz
'x,y,z'
loop_
_atom_site_label
_atom_site_type_symbol
_atom_site_fract_x
_atom_site_fract_y
_atom_site_fract_z
_atom_site_occupancy
I1 I 0.000 0.500 0.000 1
I2 I 0.500 0.000 0.000 1
C1 C 0.000 0.000 0.000 1
Te1 Te 0.000 0.000 0.500 1
Ag1 Ag 0.500 0.500 0.500 1
```

ii) AgTeCI2 after structural relaxation. Source: Alexandria via LeMat-Bulk, functional GGA-PBE.

```
data_AgTeCI2
_chemical_formula_sum 'Ag1 Te1 C1 I2'
_cell_length_a 5.634
_cell_length_b 5.634
_cell_length_c 5.597
_cell_angle_alpha 90.00
_cell_angle_beta 90.00
_cell_angle_gamma 90.00
_space_group_name_H-M_alt 'P 1'
_space_group_IT_number 1
loop_
_space_group_symop_operation_xyz
'x,y,z'
loop_
_atom_site_label
_atom_site_type_symbol
_atom_site_fract_x
_atom_site_fract_y
_atom_site_fract_z
_atom_site_occupancy
I1 I 0.000 0.500 0.000 1
I2 I 0.500 0.000 0.000 1
C1 C 0.500 0.500 0.500 1
Te1 Te 0.000 0.000 0.500 1
Ag1 Ag 0.000 0.000 0.000 1
```

i) is favored, and the nearest alternative lies 57.5 kJ/mol of atoms above it.

i) InAg3C after structural relaxation. Source: Alexandria via LeMat-Bulk, functional GGA-PBE.

```
data_InAg3C
_chemical_formula_sum 'In1 Ag3 C1'
_cell_length_a 4.472
_cell_length_b 4.472
_cell_length_c 4.472
_cell_angle_alpha 90.00
_cell_angle_beta 90.00
_cell_angle_gamma 90.00
_space_group_name_H-M_alt 'P 1'
_space_group_IT_number 1
loop_
_space_group_symop_operation_xyz
'x,y,z'
loop_
_atom_site_label
_atom_site_type_symbol
_atom_site_fract_x
_atom_site_fract_y
_atom_site_fract_z
_atom_site_occupancy
C1 C 0.000 0.000 0.000 1
Ag1 Ag 0.000 0.500 0.000 1
Ag2 Ag 0.000 0.000 0.500 1
Ag3 Ag 0.500 0.000 0.000 1
In1 In 0.500 0.500 0.500 1
```

ii) InAg3C after structural relaxation. Source: Alexandria via LeMat-Bulk, functional GGA-PBE.

```
data_InAg3C
_chemical_formula_sum 'In1 Ag3 C1'
_cell_length_a 5.247
_cell_length_b 5.247
_cell_length_c 5.247
_cell_angle_alpha 90.00
_cell_angle_beta 90.00
_cell_angle_gamma 90.00
_space_group_name_H-M_alt 'P 1'
_space_group_IT_number 1
loop_
_space_group_symop_operation_xyz
'x,y,z'
loop_
_atom_site_label
_atom_site_type_symbol
_atom_site_fract_x
_atom_site_fract_y
_atom_site_fract_z
_atom_site_occupancy
C1 C 0.500 0.500 0.500 1
Ag1 Ag 0.000 0.500 0.000 1
Ag2 Ag 0.000 0.000 0.500 1
Ag3 Ag 0.500 0.000 0.000 1
In1 In 0.000 0.000 0.000 1
```

i) is favored, and the nearest alternative lies 119.6 kJ/mol of atoms above it.